Entry 1:
A plane-wave DFT calculation with GGA-PBE was carried out for crystalline TbMn2Ni6 at its relaxed geometry.

Computed properties:
The magnetic moment is 8.93 μB/f.u. As for the formation energy: 0.07 eV per atom. The calculated total energy comes out at -6.335 eV/atom.

a = 2.8642 Å, b = 6.8071 Å, c = 7.2901 Å
α = 117.83°, β = 101.33°, γ = 90.00°
Closest atoms and distances in Å follow each position.
Fractional coordinates of all 9 atoms:
Ni  0.3206  0.1324  0.6411  4 Ni 2.43-2.56, 3 Mn 2.55-2.60
Ni  0.6794  0.8676  0.3589  4 Ni 2.43-2.56, 3 Mn 2.55-2.60
Ni  0.3206  0.5087  0.6411  4 Ni 2.43-2.56, 3 Mn 2.55-2.60
Ni  0.6794  0.4913  0.3589  4 Ni 2.43-2.56, 3 Mn 2.55-2.60
Ni  0.5000  0.8316  0.0000  3 Ni 2.29-2.46
Ni  0.5000  0.1684  0.0000  3 Ni 2.29-2.46
Mn  0.1448  0.1448  0.2896  10 Ni 2.55-2.60
Mn  0.8552  0.8552  0.7104  10 Ni 2.55-2.60
Tb  0.0000  0.5000  0.0000  12 Ni 2.67-2.96, 2 Tb 2.86

---

Entry 2:
A plane-wave DFT calculation with GGA-PBE was carried out for crystalline Tb2Mn2Ni15 at its relaxed geometry.

Computed properties:
The magnetic moment is 13.19 μB/f.u. As for the formation energy: -0.22 eV per atom. The calculated total energy comes out at -6.233 eV/atom.

a = 6.2999 Å, b = 6.2999 Å, c = 6.2999 Å
α = 82.69°, β = 82.69°, γ = 82.69°
Closest atoms and distances in Å follow each position.
Fractional coordinates of all 19 atoms:
Ni  0.8459  0.3446  0.3446  8 Ni 2.40-2.55, 1 Mn 2.57
Ni  0.3446  0.3446  0.8459  8 Ni 2.40-2.55, 1 Mn 2.57
Ni  0.0000  0.7044  0.2956  8 Ni 2.40-2.55
Ni  0.2956  0.0000  0.7044  8 Ni 2.40-2.55
Ni  0.1541  0.6554  0.6554  8 Ni 2.40-2.55, 1 Mn 2.57
Ni  0.0000  0.0000  0.5000  8 Ni 2.40, 2 Mn 2.53
Ni  0.6554  0.6554  0.1541  8 Ni 2.40-2.55, 1 Mn 2.57
Ni  0.6554  0.1541  0.6554  8 Ni 2.40-2.55, 1 Mn 2.57
Ni  0.5000  0.0000  0.0000  8 Ni 2.40, 2 Mn 2.53
Ni  0.7044  0.0000  0.2956  8 Ni 2.40-2.55
Ni  0.3446  0.8459  0.3446  8 Ni 2.40-2.55, 1 Mn 2.57
Ni  0.0000  0.2956  0.7044  8 Ni 2.40-2.55
Ni  0.2956  0.7044  0.0000  8 Ni 2.40-2.55
Ni  0.0000  0.5000  0.0000  8 Ni 2.40, 2 Mn 2.53
Ni  0.7044  0.2956  0.0000  8 Ni 2.40-2.55
Mn  0.1018  0.1018  0.1018  1 Mn 2.49, 12 Ni 2.53-2.76
Mn  0.8982  0.8982  0.8982  1 Mn 2.49, 12 Ni 2.53-2.76
Tb  0.3458  0.3458  0.3458  18 Ni 2.95-3.25, 1 Mn 2.98
Tb  0.6542  0.6542  0.6542  18 Ni 2.95-3.25, 1 Mn 2.98

---

Entry 3:
A plane-wave DFT calculation with GGA-PBE was carried out for crystalline Tb3MnNi8 at its relaxed geometry.

Computed properties:
The magnetic moment is 5.10 μB/f.u. As for the formation energy: -0.35 eV per atom. The calculated total energy comes out at -6.128 eV/atom.

a = 4.9903 Å, b = 4.9903 Å, c = 8.6722 Å
α = 73.28°, β = 73.28°, γ = 60.00°
Closest atoms and distances in Å follow each position.
Fractional coordinates of all 12 atoms:
Tb  0.9922  0.9922  0.0234  12 Ni 2.85-3.16, 1 Mn 3.00, 3 Tb 3.15
Tb  0.5057  0.5057  0.4829  12 Ni 2.80-2.97, 3 Mn 2.98
Tb  0.3772  0.3772  0.8684  12 Ni 2.93-3.00, 4 Tb 3.15
Ni  0.4355  0.9384  0.1906  6 Ni 2.46-2.54
Ni  0.9383  0.4424  0.6810  6 Ni 2.47-2.53
Ni  0.4355  0.4355  0.1906  6 Ni 2.46-2.54
Ni  0.4424  0.9383  0.6810  6 Ni 2.47-2.53
Ni  0.9383  0.9383  0.6810  6 Ni 2.47-2.53
Ni  0.9384  0.4355  0.1906  6 Ni 2.46-2.54
Ni  0.6880  0.6880  0.9360  6 Ni 2.53-2.54
Ni  0.1884  0.1884  0.4348  6 Ni 2.46-2.48
Mn  0.8701  0.8701  0.3897  12 Ni 2.78-2.98, 4 Tb 2.98-3.00

---

Entry 4:
A plane-wave DFT calculation with GGA-PBE was carried out for crystalline Tb2Mn2ZnNi5 at its relaxed geometry.

Computed properties:
The magnetic moment is 8.09 μB/f.u. As for the formation energy: -0.12 eV per atom. The calculated total energy comes out at -5.899 eV/atom.

a = 3.6384 Å, b = 9.1479 Å, c = 9.1479 Å
α = 90.00°, β = 90.00°, γ = 90.00°
Closest atoms and distances in Å follow each position.
Fractional coordinates of all 20 atoms:
Ni  0.5000  0.2953  0.5571  2 Mn 2.50, 2 Zn 2.66, 3 Ni 2.75
Ni  0.5000  0.2047  0.0571  2 Mn 2.50, 2 Zn 2.66, 3 Ni 2.75
Ni  0.5000  0.9429  0.2047  2 Mn 2.50, 2 Zn 2.66, 3 Ni 2.75
Ni  0.5000  0.0000  0.5000  4 Mn 2.37
Ni  0.5000  0.4429  0.2953  2 Mn 2.50, 2 Zn 2.66, 3 Ni 2.75
Ni  0.5000  0.5571  0.7047  2 Mn 2.50, 2 Zn 2.66, 3 Ni 2.75
Ni  0.5000  0.7953  0.9429  2 Mn 2.50, 2 Zn 2.66, 3 Ni 2.75
Ni  0.5000  0.7047  0.4429  2 Mn 2.50, 2 Zn 2.66, 3 Ni 2.75
Ni  0.5000  0.0571  0.7953  2 Mn 2.50, 2 Zn 2.66, 3 Ni 2.75
Ni  0.5000  0.5000  0.0000  4 Mn 2.37
Zn  0.0000  0.0000  0.0000  8 Ni 2.66
Zn  0.0000  0.5000  0.5000  8 Ni 2.66
Tb  0.0000  0.3188  0.8188  3 Mn 2.60-2.80
Tb  0.0000  0.1812  0.3188  3 Mn 2.60-2.80
Tb  0.0000  0.8188  0.6812  3 Mn 2.60-2.80
Tb  0.0000  0.6812  0.1812  3 Mn 2.60-2.80
Mn  0.0000  0.8820  0.3820  6 Ni 2.37-2.50, 1 Tb 2.60
Mn  0.0000  0.1180  0.6180  6 Ni 2.37-2.50, 1 Tb 2.60
Mn  0.0000  0.6180  0.8820  6 Ni 2.37-2.50, 1 Tb 2.60
Mn  0.0000  0.3820  0.1180  6 Ni 2.37-2.50, 1 Tb 2.60

---

Entry 5:
A plane-wave DFT calculation with GGA-PBE was carried out for crystalline Tb2MnZn2Ni5 at its relaxed geometry.

Computed properties:
The magnetic moment is 4.03 μB/f.u. As for the formation energy: -0.21 eV per atom. The calculated total energy comes out at -5.198 eV/atom.

a = 3.5607 Å, b = 9.2532 Å, c = 9.2532 Å
α = 90.00°, β = 90.00°, γ = 90.00°
Closest atoms and distances in Å follow each position.
Fractional coordinates of all 20 atoms:
Ni  0.5000  0.0582  0.7999  2 Zn 2.51, 2 Mn 2.62, 2 Ni 2.73
Ni  0.5000  0.5000  0.0000  4 Zn 2.37
Ni  0.5000  0.2999  0.5582  2 Zn 2.51, 2 Mn 2.62, 2 Ni 2.73
Ni  0.5000  0.2001  0.0582  2 Zn 2.51, 2 Mn 2.62, 2 Ni 2.73
Ni  0.5000  0.4418  0.2999  2 Zn 2.51, 2 Mn 2.62, 2 Ni 2.73
Ni  0.5000  0.5582  0.7001  2 Zn 2.51, 2 Mn 2.62, 2 Ni 2.73
Ni  0.5000  0.7999  0.9418  2 Zn 2.51, 2 Mn 2.62, 2 Ni 2.73
Ni  0.5000  0.9418  0.2001  2 Zn 2.51, 2 Mn 2.62, 2 Ni 2.73
Ni  0.5000  0.0000  0.5000  4 Zn 2.37
Ni  0.5000  0.7001  0.4418  2 Zn 2.51, 2 Mn 2.62, 2 Ni 2.73
Tb  0.0000  0.3216  0.8216  3 Zn 2.65-2.81, 2 Ni 2.94
Tb  0.0000  0.1784  0.3216  3 Zn 2.65-2.81, 2 Ni 2.94
Tb  0.0000  0.8216  0.6784  3 Zn 2.65-2.81, 2 Ni 2.94
Tb  0.0000  0.6784  0.1784  3 Zn 2.65-2.81, 2 Ni 2.94
Zn  0.0000  0.6193  0.8807  6 Ni 2.37-2.51, 1 Tb 2.65
Zn  0.0000  0.8807  0.3807  6 Ni 2.37-2.51, 1 Tb 2.65
Zn  0.0000  0.1193  0.6193  6 Ni 2.37-2.51, 1 Tb 2.65
Zn  0.0000  0.3807  0.1193  6 Ni 2.37-2.51, 1 Tb 2.65
Mn  0.0000  0.0000  0.0000  8 Ni 2.62
Mn  0.0000  0.5000  0.5000  8 Ni 2.62

---

Entry 6:
A plane-wave DFT calculation with GGA-PBE was carried out for crystalline Tb2MnZn3Ni12 at its relaxed geometry.

Computed properties:
The magnetic moment is 4.50 μB/f.u. As for the formation energy: 0.11 eV per atom. The calculated total energy comes out at -4.983 eV/atom.

a = 9.2513 Å, b = 9.2513 Å, c = 9.2513 Å
α = 37.69°, β = 37.69°, γ = 37.69°
Closest atoms and distances in Å follow each position.
Fractional coordinates of all 18 atoms:
Ni  0.6448  0.0749  0.0749  1 Mn 2.30, 4 Ni 2.36-2.57, 1 Zn 2.54
Ni  0.0749  0.0749  0.6448  1 Mn 2.30, 4 Ni 2.36-2.57, 1 Zn 2.54
Ni  0.8128  0.4216  0.4216  4 Ni 2.34-2.36, 2 Zn 2.36
Ni  0.4216  0.8128  0.4216  4 Ni 2.34-2.36, 2 Zn 2.36
Ni  0.4216  0.4216  0.8128  4 Ni 2.34-2.36, 2 Zn 2.36
Ni  0.1872  0.5784  0.5784  4 Ni 2.34-2.36, 2 Zn 2.36
Ni  0.5784  0.1872  0.5784  4 Ni 2.34-2.36, 2 Zn 2.36
Ni  0.3552  0.9251  0.9251  1 Mn 2.30, 4 Ni 2.36-2.57, 1 Zn 2.54
Ni  0.9251  0.9251  0.3552  1 Mn 2.30, 4 Ni 2.36-2.57, 1 Zn 2.54
Ni  0.5784  0.5784  0.1872  4 Ni 2.34-2.36, 2 Zn 2.36
Ni  0.0749  0.6448  0.0749  1 Mn 2.30, 4 Ni 2.36-2.57, 1 Zn 2.54
Ni  0.9251  0.3552  0.9251  1 Mn 2.30, 4 Ni 2.36-2.57, 1 Zn 2.54
Tb  0.3485  0.3485  0.3485  6 Ni 2.90-2.92
Tb  0.6515  0.6515  0.6515  6 Ni 2.90-2.92
Zn  0.0000  0.0000  0.5000  6 Ni 2.36-2.54
Zn  0.0000  0.5000  0.0000  6 Ni 2.36-2.54
Zn  0.5000  0.0000  0.0000  6 Ni 2.36-2.54
Mn  0.0000  0.0000  0.0000  6 Ni 2.30

---

Calculated calculated volume in order - 122.6 244.4 176.4 304.5 304.9 265.6 Å³/cell